# 1
PmHgF6 | PBE | relaxed

```
PmHgF6
1.0
5.5931 0.0000 0.0000
2.7964 4.8514 0.0000
2.7945 1.6110 5.4156
Pm Hg F
1 1 6
direct
0.0000 0.0000 0.0000
0.5000 0.5000 0.5000
0.1189 0.7414 0.7499
0.2581 0.6104 0.2500
0.3898 0.1187 0.7504
0.6102 0.8813 0.2496
0.7419 0.3896 0.7500
0.8811 0.2586 0.2501
```

Magnetization = 1.1 μB per cell
Energy above the lowest structure with this stoichiometry = 0 meV/atom
Mass density = 5.19 Mg/m³

---

# 2
PmHg2F6 | PBE | relaxed

```
PmHg2F6
1.0
6.0156 -2.0130 0.0000
6.0156 2.0130 0.0000
-5.0441 0.0000 6.7162
Pm Hg F
1 2 6
direct
0.0000 0.0000 0.0000
0.1468 0.1468 0.5904
0.8532 0.8532 0.4096
0.0471 0.0471 0.7734
0.2247 0.2247 0.3460
0.3704 0.3704 0.9160
0.6296 0.6296 0.0840
0.7753 0.7753 0.6540
0.9529 0.9529 0.2266
```

Magnetization = 0.0 μB per cell
Electronic total energy = -38.4 eV per cell
Mass density = 6.74 Mg/m³

---

# 3
PmHgF2 | PBE | relaxed

```
PmHgF2
1.0
1.7537 1.0125 9.7046
-1.7537 1.0125 9.7046
0.0000 -2.0250 9.7046
Pm Hg F
1 1 2
direct
0.0000 0.0000 0.0000
0.5000 0.5000 0.5000
0.3791 0.3791 0.3791
0.6209 0.6209 0.6209
```

Magnetization = 0.2 μB per cell
Electronic total energy = -18.2 eV per cell
Mass density = 6.16 Mg/m³

---

# 4
PmHg4F12 | PBE | relaxed

```
PmHg4F12
1.0
-4.4803 4.4803 4.1888
4.4803 -4.4803 4.1888
4.4803 4.4803 -4.1888
Pm Hg F
1 4 12
direct
0.0000 0.0000 0.0000
0.0000 0.0000 0.5000
0.0000 0.5000 0.0000
0.5000 0.0000 0.0000
0.5000 0.5000 0.5000
0.0464 0.8315 0.2148
0.1685 0.3833 0.2148
0.1685 0.9536 0.7852
0.2986 0.2986 0.5971
0.2986 0.7014 0.0000
0.3833 0.1685 0.2148
0.6167 0.8315 0.7852
0.7014 0.2986 0.0000
0.7014 0.7014 0.4029
0.8315 0.0464 0.2148
0.8315 0.6167 0.7852
0.9536 0.1685 0.7852
```

Magnetization = 0.0 μB per cell
Electronic total energy = -61.4 eV per cell
Mass density = 5.80 Mg/m³